[1]
## NdTm2MgHg4 (PBE)

Data for NdTm2MgHg4 after structural relaxation.

```
data_NdTm2MgHg4
_chemical_formula_sum 'Nd3 Tm6 Mg3 Hg12'
_symmetry_space_group_name_H-M 'R -3 m'
_symmetry_Int_Tables_number 166
_symmetry_space_group_name_Hall '-R 3 2"'
_cell_length_a 5.0930
_cell_length_b 5.0930
_cell_length_c 26.5970
_cell_angle_alpha 90.00
_cell_angle_beta 90.00
_cell_angle_gamma 120.00
loop_
_atom_site_label
_atom_site_type_symbol
_atom_site_fract_x
_atom_site_fract_y
_atom_site_fract_z
Nd1 Nd 0.0000 0.0000 0.0000
Tm1 Tm 0.0000 0.0000 0.2428
Mg1 Mg 0.0000 0.0000 0.5000
Hg1 Hg 0.0000 0.0000 0.1266
Hg2 Hg 0.0000 0.0000 0.3823
```



[2]
## NdTmMg2Hg4 (PBE)

Data for NdTmMg2Hg4 after structural relaxation.

```
data_NdTmMg2Hg4
_chemical_formula_sum 'Nd3 Tm3 Mg6 Hg12'
_symmetry_space_group_name_H-M 'R -3 m'
_symmetry_Int_Tables_number 166
_symmetry_space_group_name_Hall '-R 3 2"'
_cell_length_a 5.0908
_cell_length_b 5.0908
_cell_length_c 25.1892
_cell_angle_alpha 90.00
_cell_angle_beta 90.00
_cell_angle_gamma 120.00
loop_
_atom_site_label
_atom_site_type_symbol
_atom_site_fract_x
_atom_site_fract_y
_atom_site_fract_z
Nd1 Nd 0.0000 0.0000 0.0000
Tm1 Tm 0.0000 0.0000 0.5000
Mg1 Mg 0.0000 0.0000 0.2494
Hg1 Hg 0.0000 0.0000 0.1278
Hg2 Hg 0.0000 0.0000 0.3793
```



[3]
## NdYMgHg (PBE)

Data for NdYMgHg after structural relaxation.

```
data_NdYMgHg
_chemical_formula_sum 'Nd1 Y1 Mg1 Hg1'
_symmetry_space_group_name_H-M 'P 4 m m'
_symmetry_Int_Tables_number 99
_cell_length_a 3.809
_cell_length_b 3.809
_cell_length_c 7.607
_cell_angle_alpha 90.00
_cell_angle_beta 90.00
_cell_angle_gamma 90.00
loop_
_symmetry_equiv_pos_as_xyz
'x,y,z'
'-y,x,z'
'-x,-y,z'
'y,-x,z'
'-x,y,z'
'y,x,z'
'x,-y,z'
'-y,-x,z'
loop_
_atom_site_label
_atom_site_type_symbol
_atom_site_fract_x
_atom_site_fract_y
_atom_site_fract_z
Nd1 Nd 0.000 0.000 0.000
Y1 Y 0.000 0.000 0.494
Mg1 Mg 0.500 0.500 0.737
Hg1 Hg 0.500 0.500 0.264
```



no.,uncorrected energy (eV per atom),V (Å³ per cell)
1,-2.50,597.46
2,-2.16,565.35
3,-3.58,110.36